(1)
The following is a DFT calculation (PBE) of a geometry-optimized Pm12In3H5 structure.

Values from the calculation:
The total energy comes out at -4.338 eV/atom.

Cell: 13.917 13.917 13.917 Å, 109.47 109.47 109.47°
Fractional coordinates of all 80 atoms:
1 Pm 0.014 0.205 0.109
2 Pm 0.014 0.308 0.905
3 Pm 0.095 0.609 0.404
4 Pm 0.095 0.986 0.692
5 Pm 0.096 0.705 0.692
6 Pm 0.096 0.891 0.405
7 Pm 0.109 0.014 0.205
8 Pm 0.109 0.595 0.904
9 Pm 0.192 0.205 0.596
10 Pm 0.192 0.486 0.595
11 Pm 0.205 0.109 0.014
12 Pm 0.205 0.596 0.192
13 Pm 0.295 0.308 0.904
14 Pm 0.295 0.486 0.391
15 Pm 0.308 0.904 0.295
16 Pm 0.308 0.905 0.014
17 Pm 0.391 0.295 0.486
18 Pm 0.391 0.596 0.905
19 Pm 0.404 0.095 0.609
20 Pm 0.404 0.808 0.795
21 Pm 0.405 0.096 0.891
22 Pm 0.405 0.808 0.514
23 Pm 0.486 0.391 0.295
24 Pm 0.486 0.595 0.192
25 Pm 0.514 0.405 0.808
26 Pm 0.514 0.609 0.705
27 Pm 0.595 0.192 0.486
28 Pm 0.595 0.904 0.109
29 Pm 0.596 0.192 0.205
30 Pm 0.596 0.905 0.391
31 Pm 0.609 0.404 0.095
32 Pm 0.609 0.705 0.514
33 Pm 0.692 0.095 0.986
34 Pm 0.692 0.096 0.705
35 Pm 0.705 0.514 0.609
36 Pm 0.705 0.692 0.096
37 Pm 0.795 0.404 0.808
38 Pm 0.795 0.891 0.986
39 Pm 0.808 0.514 0.405
40 Pm 0.808 0.795 0.404
41 Pm 0.891 0.405 0.096
42 Pm 0.891 0.986 0.795
43 Pm 0.904 0.109 0.595
44 Pm 0.904 0.295 0.308
45 Pm 0.905 0.014 0.308
46 Pm 0.905 0.391 0.596
47 Pm 0.986 0.692 0.095
48 Pm 0.986 0.795 0.891
49 In 0.125 0.250 0.375
50 In 0.125 0.375 0.750
51 In 0.250 0.375 0.125
52 In 0.250 0.875 0.625
53 In 0.375 0.125 0.250
54 In 0.375 0.750 0.125
55 In 0.625 0.250 0.875
56 In 0.625 0.875 0.750
57 In 0.750 0.125 0.375
58 In 0.750 0.625 0.875
59 In 0.875 0.625 0.250
60 In 0.875 0.750 0.625
61 H 0.000 0.000 0.000
62 H 0.000 0.000 0.500
63 H 0.000 0.500 0.000
64 H 0.000 0.500 0.500
65 H 0.125 0.750 0.875
66 H 0.125 0.875 0.250
67 H 0.250 0.125 0.875
68 H 0.250 0.625 0.375
69 H 0.375 0.250 0.625
70 H 0.375 0.625 0.750
71 H 0.500 0.000 0.000
72 H 0.500 0.000 0.500
73 H 0.500 0.500 0.000
74 H 0.500 0.500 0.500
75 H 0.625 0.375 0.250
76 H 0.625 0.750 0.375
77 H 0.750 0.375 0.625
78 H 0.750 0.875 0.125
79 H 0.875 0.125 0.750
80 H 0.875 0.250 0.125

(2)
The following is a DFT calculation (PBE) of a geometry-optimized Pm2Nd2YHo2 structure.

Values from the calculation:
For the energy of formation from the pure elements, the calculation gives 17 meV per atom.

Cell: 11.428 5.110 8.081 Å, 90.00 98.21 90.00°
Fractional coordinates of all 14 atoms:
1 Pm 0.144 0.000 0.429
2 Pm 0.356 0.500 0.571
3 Pm 0.644 0.500 0.429
4 Pm 0.856 0.000 0.571
5 Nd 0.072 0.500 0.718
6 Nd 0.428 0.000 0.282
7 Nd 0.572 0.000 0.718
8 Nd 0.928 0.500 0.282
9 Y 0.000 0.000 0.000
10 Y 0.500 0.500 0.000
11 Ho 0.215 0.500 0.141
12 Ho 0.285 0.000 0.859
13 Ho 0.715 0.000 0.141
14 Ho 0.785 0.500 0.859

| no. | N(E_F) (states/eV/cell) |
| --- | --- |
| 1 | 89.3 |
| 2 | 19.8 |